Computed, not measured: crystalline Er4AsPtSe2 at its relaxed geometry at the GGA-PBE level of DFT.

Calculated values
Spin magnetization (μB/atom): 0.00
Energy relative to the elements, uncorrected (meV per atom): -1539.8

a b c (Å): 7.0508 4.0253 7.1657
angles (deg): 90.00 108.99 90.00
With the nearest neighbours (Å) after each atom.
Space group P2/m (No. 10)
Unique sites:
1 Er 0.2365 0.0000 0.2322 x2  2 Pt 2.79, 1 As 2.87, 3 Se 2.92-2.98
2 Er 0.2508 0.5000 0.7614 x2  1 Pt 2.83, 2 As 2.85, 3 Se 2.92-2.96
3 As 0.5000 0.0000 0.0000 x1  6 Er 2.85-2.87
4 Pt 0.0000 0.5000 0.0000 x1  6 Er 2.79-2.83
5 Se 0.0000 0.0000 0.5000 x1  6 Er 2.92
6 Se 0.5000 0.5000 0.5000 x1  6 Er 2.96-2.98

---

Computed, not measured: crystalline Er6AsPt2Se3 at its relaxed geometry at the GGA-PBE level of DFT.

Calculated values
Spin magnetization (μB/atom): 0.00
Energy relative to the elements, uncorrected (meV per atom): -1532.1

a b c (Å): 18.2172 4.0081 8.2768
angles (deg): 90.00 107.25 90.00
With the nearest neighbours (Å) after each atom.
Space group C2/m (No. 12)
Unique sites:
1 Er 0.0107 0.0000 0.2492 x4  2 As 2.84, 1 Pt 2.87, 3 Se 2.93-2.98
2 Er 0.1646 0.5000 0.5925 x4  3 Pt 2.79-2.83, 3 Se 2.87-2.97
3 Er 0.1670 0.5000 0.1242 x4  2 Pt 2.80, 1 As 2.91, 3 Se 2.97-3.10
4 As 0.0000 0.5000 0.0000 x2  6 Er 2.84-2.91
5 Pt 0.1755 0.0000 0.3657 x4  6 Er 2.79-2.87
6 Se 0.0000 0.5000 0.5000 x2  6 Er 2.87-2.93
7 Se 0.1605 0.0000 0.8548 x4  6 Er 2.97-3.10

---

Computed, not measured: crystalline Er8As3PtSe4 at its relaxed geometry at the GGA-PBE level of DFT.

Calculated values
Spin magnetization (μB/atom): 0.00
Energy relative to the elements, uncorrected (meV per atom): -1602.3

a b c (Å): 8.1237 8.1237 20.0870
angles (deg): 90.00 90.00 120.00
With the nearest neighbours (Å) after each atom.
Space group R-3m (No. 166, hexagonal axes)
Unique sites:
1 Er 0.0000 0.0000 0.2459 x6  3 As 2.83, 3 Se 2.93
2 Er 0.0054 0.5027 0.2455 x18  1 Pt 2.80, 2 As 2.85, 3 Se 2.92-2.97
3 As 0.0000 0.5000 0.5000 x9  6 Er 2.83-2.85
4 Pt 0.0000 0.0000 0.5000 x3  6 Er 2.80
5 Se 0.0000 0.0000 0.0000 x3  6 Er 2.97
6 Se 0.0000 0.5000 0.0000 x9  6 Er 2.92-2.93

---

Computed, not measured: crystalline Sr2ErAs3Pt4 at its relaxed geometry at the GGA-PBE level of DFT.

Calculated values
Spin magnetization (μB/atom): 0.00
Energy relative to the elements (kJ/mol of formula units): -845

a b c (Å): 4.3897 4.3897 11.1970
angles (deg): 90.00 90.00 90.00
With the nearest neighbours (Å) after each atom.
Space group P-4m2 (No. 115)
Unique sites:
1 Sr 0.0000 0.5000 0.2265 x2  4 As 3.31, 8 Pt 3.35-3.38
2 Er 0.0000 0.0000 0.5000 x1  4 Pt 2.79, 4 As 3.10
3 As 0.0000 0.5000 0.8774 x2  5 Pt 2.51-2.59
4 As 0.5000 0.5000 0.5000 x1  4 Pt 2.79, 4 Er 3.10
5 Pt 0.0000 0.0000 0.0000 x1  4 As 2.59
6 Pt 0.0000 0.5000 0.6536 x2  3 As 2.51-2.79, 2 Er 2.79
7 Pt 0.5000 0.5000 0.0000 x1  4 As 2.59